Entry from Alexandria via LeMat-Bulk: crystalline Pb2CBr at its relaxed geometry (PBE).

Cell lengths 7.282, 7.282, 6.669 Å; angles 56.91, 56.91, 90.00 degrees
Element x y z (fractional)
Pb: 0.529 0.125 0.250
Pb: 0.221 0.625 0.250
Pb: 0.375 0.471 0.750
Pb: 0.875 0.779 0.750
C: 0.500 0.500 0.000
C: 0.250 0.750 0.500
Br: 0.000 0.000 0.000
Br: 0.750 0.250 0.500

Properties
magnetization: 0.0 μB per cell
ΔE_f (raw): 0.6641 eV per atom

Entry from Alexandria via LeMat-Bulk: crystalline Li2CoPb at its relaxed geometry (PBE).

Cell lengths 8.921, 8.921, 8.921 Å; angles 20.84, 20.84, 20.84 degrees
Element x y z (fractional)
Co: 0.749 0.749 0.749
Li: 0.011 0.011 0.011
Li: 0.249 0.249 0.249
Pb: 0.491 0.491 0.491

Properties
ΔE_f: 1.3 eV per formula unit
magnetization: 1.3 μB per cell

Entry from Alexandria via LeMat-Bulk: crystalline Ac2Zr2S7 at its relaxed geometry (PBE).

Cell lengths 6.927, 7.651, 7.651 Å; angles 112.93, 95.11, 95.11 degrees
Element x y z (fractional)
Ac: 0.500 0.315 0.685
Ac: 0.500 0.685 0.315
Zr: 0.891 0.261 0.261
Zr: 0.109 0.739 0.739
S: 0.286 0.941 0.608
S: 0.714 0.392 0.059
S: 0.714 0.059 0.392
S: 0.286 0.608 0.941
S: 0.000 0.000 0.000
S: 0.776 0.565 0.565
S: 0.224 0.435 0.435

Properties
magnetization: 0.0 μB per cell
ΔE_f (raw): -1.7012 eV per atom

Entry from Alexandria via LeMat-Bulk: crystalline Li2MgTl3 at its relaxed geometry (PBE).

Cell lengths 4.943, 7.800, 7.382 Å; angles 90.00, 90.00, 71.53 degrees
Element x y z (fractional)
Li: 0.000 0.000 0.000
Li: 0.000 0.000 0.500
Li: 0.333 0.334 0.500
Li: 0.667 0.666 0.500
Mg: 0.332 0.335 0.000
Mg: 0.668 0.665 0.000
Tl: 0.836 0.328 0.738
Tl: 0.500 0.000 0.258
Tl: 0.164 0.672 0.262
Tl: 0.836 0.328 0.262
Tl: 0.164 0.672 0.738
Tl: 0.500 0.000 0.742

Properties
ΔE_f: -1.0 eV per formula unit
magnetization: 0.0 μB per cell